1.
Material: CuSiHg2
Method: DFT, PBE-GGA
State: relaxed

a = 4.2280 Å, b = 4.2280 Å, c = 8.4270 Å
α = 90.00°, β = 90.00°, γ = 90.00°
With the nearest neighbours (Å) after each atom.
Space group I4/mmm (No. 139)
Unique sites:
Cu  0.0000  0.0000  0.0000 [2 per cell]  8 Hg 2.98, 4 Si 2.99
Si  0.0000  0.0000  0.5000 [2 per cell]  8 Hg 2.98, 4 Cu 2.99
Hg  0.0000  0.5000  0.2500 [4 per cell]  4 Cu 2.98, 4 Si 2.98, 4 Hg 2.99

## Properties
The value obtained for the uncorrected formation energy is 1.83 eV/f.u.

***

2.
Material: La7Nd4Er
Method: DFT, PBE-GGA
State: relaxed

a = 6.4603 Å, b = 7.4483 Å, c = 9.2279 Å
α = 90.09°, β = 103.48°, γ = 90.00°
With the nearest neighbours (Å) after each atom.
Space group P-1 (No. 2)
Unique sites:
La  0.0000  0.0000  0.0000 [1 per cell]  4 Nd 3.65-3.68, 6 La 3.67-3.74, 2 Er 3.72
La  0.2212  0.4988  0.6679 [2 per cell]  6 La 3.66-3.73, 1 Er 3.67, 5 Nd 3.72-3.74
La  0.2781  0.7497  0.3303 [2 per cell]  5 La 3.66-3.73, 1 Er 3.66, 6 Nd 3.71-3.75
La  0.4997  0.2533  0.0001 [2 per cell]  3 Nd 3.65-3.68, 7 La 3.66-3.77, 2 Er 3.71-3.72
Nd  0.2257  0.9998  0.6683 [2 per cell]  8 La 3.68-3.75, 4 Nd 3.72-3.74
Nd  0.2751  0.2510  0.3280 [2 per cell]  1 Er 3.64, 8 La 3.65-3.75, 3 Nd 3.72-3.74
Er  0.0000  0.5000  0.0000 [1 per cell]  2 Nd 3.64, 10 La 3.66-3.72

## Properties
As for the polymorph energy (0 for the lowest one): 0.0 kJ per mole of atoms. The energy relative to the elements is 0.016 eV/atom.

***

3.
Material: CdTeOs
Method: DFT, PBE-GGA
State: relaxed

a = 3.5080 Å, b = 3.5080 Å, c = 6.4881 Å
α = 90.00°, β = 90.00°, γ = 120.00°
With the nearest neighbours (Å) after each atom.
Space group P3m1 (No. 156)
Unique sites:
Cd  0.0000  0.0000  0.0000 [1 per cell]  3 Os 2.85
Te  0.3333  0.6667  0.5530 [1 per cell]  3 Os 2.57
Os  0.6667  0.3333  0.3081 [1 per cell]  3 Te 2.57, 3 Cd 2.85

## Properties
As for the polymorph energy (0 for the lowest one): 5.9 kJ per mole of atoms. The value obtained for the uncorrected formation energy is 1.44 eV/f.u.

***

4.
Material: Li2TcAg
Method: DFT, PBE-GGA
State: relaxed

a = 2.6283 Å, b = 2.6283 Å, c = 9.2390 Å
α = 90.00°, β = 90.00°, γ = 90.00°
With the nearest neighbours (Å) after each atom.
Space group P4mm (No. 99)
Unique sites:
Li  0.0000  0.0000  0.0000 [1 per cell]  4 Li 2.63, 4 Ag 2.84
Li  0.5000  0.5000  0.2831 [1 per cell]  4 Li 2.63, 4 Tc 2.83
Tc  0.0000  0.0000  0.5145 [1 per cell]  4 Tc 2.63, 4 Li 2.83
Ag  0.5000  0.5000  0.7679 [1 per cell]  4 Ag 2.63, 4 Li 2.84

## Properties
As for the polymorph energy (0 for the lowest one): 10.5 kJ per mole of atoms. The energy relative to the elements is 0.221 eV/atom.

***

5.
Material: HPd2PbAu
Method: DFT, PBE-GGA
State: relaxed

a = 4.0601 Å, b = 4.0601 Å, c = 4.8245 Å
α = 90.00°, β = 90.00°, γ = 90.00°
With the nearest neighbours (Å) after each atom.
Space group P4/mmm (No. 123)
Unique sites:
H  0.0000  0.0000  0.0000 [1 per cell]  4 Pd 2.03
Pd  0.0000  0.5000  0.0000 [2 per cell]  2 H 2.03
Pb  0.0000  0.0000  0.5000 [1 per cell]  2 H 2.41
Au  0.5000  0.5000  0.5000 [1 per cell]  4 Pb 2.87, 8 Pd 3.15

## Properties
As for the polymorph energy (0 for the lowest one): 5.3 kJ per mole of atoms.

***

6.
Material: Er12Sc7Pb
Method: DFT, PBE-GGA
State: relaxed

a = 13.0739 Å, b = 13.0739 Å, c = 11.4128 Å
α = 90.00°, β = 90.00°, γ = 120.00°
With the nearest neighbours (Å) after each atom.
Space group R-3 (No. 148, hexagonal axes)
Unique sites:
Er  0.9995  0.2608  0.9997 [18 per cell]  5 Sc 3.27-3.48, 6 Er 3.28-3.46
Er  0.0847  0.9117  0.7525 [18 per cell]  6 Er 3.28-3.46, 4 Sc 3.44-3.66, 1 Pb 3.48
Sc  0.0000  0.0000  0.0000 [3 per cell]  12 Er 3.41-3.44
Sc  0.0545  0.5274  0.1227 [18 per cell]  3 Sc 3.06-3.31, 1 Pb 3.20, 2 Er 3.27-3.28
Pb  0.0000  0.0000  0.5000 [3 per cell]  6 Sc 3.20, 6 Er 3.48

## Properties
The energy relative to the elements is 0.043 eV/atom.

***

7.
Material: AlGaFe
Method: DFT, PBE-GGA
State: relaxed

a = 2.6392 Å, b = 11.4386 Å, c = 5.6469 Å
α = 90.00°, β = 90.00°, γ = 90.00°
With the nearest neighbours (Å) after each atom.
Space group Cmcm (No. 63)
Unique sites:
Al  0.0000  0.1424  0.2500 [4 per cell]  4 Fe 2.53, 2 Al 2.64, 4 Ga 2.77-2.82
Ga  0.0000  0.1444  0.7500 [4 per cell]  4 Fe 2.54, 2 Ga 2.64, 4 Al 2.77-2.82
Fe  0.0000  0.5000  0.0000 [4 per cell]  4 Al 2.53, 4 Ga 2.54, 4 Fe 2.64-2.82

## Properties
The energy relative to the elements is -0.131 eV/atom.

***

8.
Material: SmScIn2
Method: DFT, PBE-GGA
State: relaxed

a = 3.5827 Å, b = 3.5827 Å, c = 29.1955 Å
α = 90.00°, β = 90.00°, γ = 120.00°
With the nearest neighbours (Å) after each atom.
Space group R-3m (No. 166, hexagonal axes)
Unique sites:
Sm  0.0000  0.0000  0.0000 [3 per cell]  6 In 3.31, 6 Sm 3.58
Sc  0.0000  0.0000  0.5000 [3 per cell]  6 In 3.08
In  0.0000  0.0000  0.2449 [6 per cell]  3 Sc 3.08, 3 Sm 3.31

## Properties
The energy relative to the elements is -0.277 eV/atom.

***

9.
Material: Sr2Ca3Hg4
Method: DFT, PBE-GGA
State: relaxed

a = 8.5658 Å, b = 8.5244 Å, c = 8.4679 Å
α = 90.00°, β = 110.40°, γ = 90.00°
With the nearest neighbours (Å) after each atom.
Space group P2_1/c (No. 14)
Unique sites:
Sr  0.1847  0.1724  0.0601 [4 per cell]  7 Hg 3.43-3.68
Ca  0.2462  0.6637  0.2486 [4 per cell]  6 Hg 3.15-3.26
Ca  0.5000  0.0000  0.5000 [2 per cell]  6 Hg 3.31-3.34
Hg  0.0860  0.5426  0.8602 [4 per cell]  4 Ca 3.15-3.34, 1 Hg 3.28, 1 Sr 3.47
Hg  0.4966  0.1340  0.8659 [4 per cell]  5 Ca 3.20-3.32, 1 Hg 3.21, 1 Sr 3.43

## Properties
The energy relative to the elements is -0.494 eV/atom.

***

10.
Material: Y3Sb2Se
Method: DFT, PBE-GGA
State: relaxed

a = 4.2972 Å, b = 6.0973 Å, c = 12.8446 Å
α = 90.00°, β = 90.00°, γ = 90.00°
With the nearest neighbours (Å) after each atom.
Space group Immm (No. 71)
Unique sites:
Y  0.0000  0.0000  0.0000 [2 per cell]  2 Se 3.05, 4 Sb 3.05
Y  0.0000  0.0000  0.3391 [4 per cell]  2 Se 2.98, 4 Sb 3.05-3.07
Sb  0.0000  0.5000  0.3312 [4 per cell]  6 Y 3.05-3.07
Se  0.0000  0.5000  0.0000 [2 per cell]  6 Y 2.98-3.05

## Properties
The value obtained for the uncorrected formation energy is -8.29 eV/f.u.

***

| no. | V (A^3/atom) | calculated total energy (eV/atom) | D(E_F) (states/eV per cell) |
| --- | --- | --- | --- |
| 1 | 18.830 | -2.07 | 2.4 |
| 2 | 35.983 | -4.83 | 18.4 |
| 3 | 23.049 | -4.61 | 1.1 |
| 4 | 15.956 | -4.04 | 2.5 |
| 5 | 15.906 | -4.13 | 2.2 |
| 6 | 28.157 | -5.10 | 113.2 |
| 7 | 14.206 | -5.21 | 9.3 |
| 8 | 27.045 | -4.41 | 10.1 |
| 9 | 32.196 | -1.67 | 14.9 |
| 10 | 28.046 | -6.57 | 3.2 |